[1]
VASP calculation (PBE) on a relaxed K2Cu2AsSe4 crystal.

Geometry as POSCAR:
```
K2Cu2AsSe4
1.0
3.954 0.000 0.000
-1.977 7.516 -0.064
0.000 -2.672 7.351
K Cu As Se
2 2 1 4
direct
0.868 0.735 0.444 K
0.132 0.265 0.556 K
0.308 0.616 0.014 Cu
0.692 0.384 0.986 Cu
0.000 0.000 0.000 As
0.806 0.613 0.823 Se
0.194 0.387 0.177 Se
0.478 0.956 0.223 Se
0.522 0.044 0.777 Se
```

Summary:
M_tot (μB per atom): 0.000
N(E_F) (states/eV/f.u.): 5.79
Space-group type: C2/m, No. 12
E_form (uncorrected) (eV/atom): -0.5243
Raw total energy (eV per formula unit): -33.69

[2]
VASP calculation (PBE) on a relaxed KCuAsSe3 crystal.

Geometry as POSCAR:
```
KCuAsSe3
1.0
-2.785 0.609 2.688
-1.195 -9.018 0.804
6.547 3.020 6.099
K Cu As Se
2 2 2 6
direct
0.250 0.201 0.241 K
0.750 0.799 0.759 K
0.250 0.072 0.587 Cu
0.750 0.928 0.413 Cu
0.250 0.665 0.132 As
0.750 0.335 0.868 As
0.750 0.868 0.137 Se
0.250 0.132 0.863 Se
0.250 0.790 0.461 Se
0.750 0.210 0.539 Se
0.750 0.462 0.152 Se
0.250 0.538 0.848 Se
```

Summary:
M_tot (μB per atom): 0.000
N(E_F) (states/eV/f.u.): 4.66
Space-group type: P2_1/m, No. 11
E_form (uncorrected) (eV/atom): -0.4214
Raw total energy (eV per formula unit): -22.83

[3]
VASP calculation (PBE) on a relaxed KCu2AsSe4 crystal.

Geometry as POSCAR:
```
KCu2AsSe4
1.0
-5.685 -0.219 -3.030
-5.206 -2.873 3.119
-4.519 4.800 1.276
K Cu As Se
1 2 1 4
direct
0.000 0.000 0.000 K
0.154 0.346 0.346 Cu
0.846 0.654 0.654 Cu
0.500 0.500 0.500 As
0.445 0.167 0.514 Se
0.127 0.833 0.486 Se
0.873 0.514 0.167 Se
0.555 0.486 0.833 Se
```

Summary:
M_tot (μB per atom): 0.000
N(E_F) (states/eV/f.u.): 0.17
Space-group type: I222, No. 23
E_form (uncorrected) (eV/atom): -0.3180
Raw total energy (eV per formula unit): -30.42

Q: The highest E_form (uncorrected) belongs to which entry?
A: KCu2AsSe4

Q: Which of these has the highest raw total energy?
A: KCuAsSe3